# Ba2Pb2Br

An optimized crystal structure of Ba2Pb2Br (GGA-PBE, the Alexandria database).

Summary:
total energy = -3.4428 eV per atom
formation energy from raw total energies = -0.856 eV per atom

```
10
Lattice="-2.200 8.494 2.896 1.017 -2.727 8.770 4.975 1.343 -0.159" Properties=species:S:1:pos:R:3 pbc="T T T"
Pb 2.867 -0.062 5.579
Pb 2.054 3.417 9.496
Pb 0.926 7.172 5.927
Pb 1.739 3.693 2.010
Ba 0.136 0.454 8.061
Ba -1.097 5.057 8.366
Ba -1.319 5.313 3.604
Ba -0.086 0.711 3.299
Br 0.000 0.000 0.000
Br -0.591 2.884 5.833
```